[1]
Density functional theory data (PBEsol) for crystalline ZrSeO2 at its relaxed geometry.

Unit cell a=6.3507 b=6.3507 c=6.3507 alpha=60.00 beta=60.00 gamma=60.00
Site moments in Bohr magnetons follow the coordinates.
Sites, in units of the cell vectors:
1 Zr 0.7500 0.7500 0.7500  -0.01
2 Zr 0.5000 0.5000 0.5000  -0.01
3 O 0.1250 0.6250 0.6250  0.06
4 O 0.6250 0.6250 0.6250  0.06
5 O 0.6250 0.6250 0.1250  0.06
6 O 0.6250 0.1250 0.6250  0.06
7 Se 0.0000 0.0000 0.0000  1.13
8 Se 0.2500 0.2500 0.2500  1.13

Output
- size of the total moment (μB per formula unit) = 2.011
- uncorrected formation energy (eV per atom) = -1.7741

***

[2]
Density functional theory data (PBEsol) for crystalline Cs2BeCl4 at its relaxed geometry.

Unit cell a=7.0821 b=9.6163 c=12.3149 alpha=90.00 beta=90.00 gamma=90.00
Sites, in units of the cell vectors:
1 Cl 0.2500 0.5367 0.3975
2 Cl 0.7500 0.4633 0.6025
3 Cl 0.5159 0.6736 0.8478
4 Cl 0.0159 0.8264 0.3478
5 Cl 0.4841 0.3264 0.1522
6 Cl 0.2500 0.0367 0.1025
7 Cl 0.9841 0.6736 0.8478
8 Cl 0.0159 0.3264 0.1522
9 Cl 0.4841 0.8264 0.3478
10 Cl 0.5159 0.1736 0.6522
11 Cl 0.9841 0.1736 0.6522
12 Cl 0.2500 0.8043 0.5764
13 Cl 0.2500 0.3043 0.9236
14 Cl 0.7500 0.1957 0.4236
15 Cl 0.7500 0.9633 0.8975
16 Cl 0.7500 0.6957 0.0764
17 Be 0.2500 0.2458 0.0820
18 Be 0.7500 0.7542 0.9180
19 Be 0.7500 0.2542 0.5820
20 Be 0.2500 0.7458 0.4180
21 Cs 0.7500 0.5260 0.3275
22 Cs 0.2500 0.1485 0.3958
23 Cs 0.2500 0.9740 0.8275
24 Cs 0.7500 0.0260 0.1725
25 Cs 0.7500 0.8515 0.6042
26 Cs 0.2500 0.4740 0.6725
27 Cs 0.7500 0.3515 0.8958
28 Cs 0.2500 0.6485 0.1042

Output
- size of the total moment (μB per formula unit) = 0.000
- uncorrected formation energy (eV per atom) = -1.8365

***

[3]
Density functional theory data (PBEsol) for crystalline Ir2RuW at its relaxed geometry.

Unit cell a=2.7225 b=4.7124 c=4.7124 alpha=109.94 beta=90.00 gamma=90.00
Sites, in units of the cell vectors:
1 W 0.5000 0.5000 0.5000
2 Ir 0.0000 0.5000 0.0000
3 Ir 0.0000 0.0000 0.5000
4 Ru 0.5000 0.0000 0.0000

Output
- distance to the lowest polymorph of the same formula (meV per atom) = 103.0
- formation energy (meV/atom) = -172
- size of the total moment (μB per formula unit) = 0.000

***

[4]
Density functional theory data (PBEsol) for crystalline ZrMn3 at its relaxed geometry.

Unit cell a=4.7898 b=4.7898 c=7.9282 alpha=90.00 beta=90.00 gamma=120.00
Site moments in Bohr magnetons follow the coordinates.
Sites, in units of the cell vectors:
1 Zr 0.0000 0.0000 0.0648  0.04
2 Zr 0.6667 0.3333 0.9295  0.06
3 Zr 0.0000 0.0000 0.4450  0.00
4 Mn 0.6667 0.3333 0.5653  3.09
5 Mn 0.9892 0.4946 0.2550  0.06
6 Mn 0.1627 0.3255 0.7443  0.00
7 Mn 0.3333 0.6667 0.5002  0.93
8 Mn 0.5054 0.0108 0.2550  0.06
9 Mn 0.6745 0.8373 0.7443  0.00
10 Mn 0.3333 0.6667 0.9974  -0.83
11 Mn 0.5054 0.4946 0.2550  0.06
12 Mn 0.1627 0.8373 0.7443  0.00

Output
- formation energy (meV/atom) = -81
- size of the total moment (μB per formula unit) = 1.199

***

[5]
Density functional theory data (PBEsol) for crystalline ZrSi3Au at its relaxed geometry.

Unit cell a=4.9761 b=4.9761 c=4.9761 alpha=90.00 beta=90.00 gamma=90.00
Sites, in units of the cell vectors:
1 Si 0.0000 0.0000 0.5000
2 Si 0.5000 0.0000 0.0000
3 Si 0.0000 0.5000 0.0000
4 Au 0.5000 0.5000 0.5000
5 Zr 0.0000 0.0000 0.0000

Output
- size of the total moment (μB per formula unit) = 0.000
- uncorrected formation energy (eV per atom) = 1.0945

***

[6]
Density functional theory data (PBEsol) for crystalline CaLa3Tc at its relaxed geometry.

Unit cell a=5.5309 b=5.5309 c=5.5309 alpha=90.00 beta=90.00 gamma=90.00
Sites, in units of the cell vectors:
1 Ca 0.5000 0.5000 0.5000
2 Tc 0.0000 0.0000 0.0000
3 La 0.0000 0.5000 0.0000
4 La 0.0000 0.0000 0.5000
5 La 0.5000 0.0000 0.0000

Output
- formation energy (meV/atom) = 54
- size of the total moment (μB per formula unit) = 0.007

***

[7]
Density functional theory data (PBEsol) for crystalline CuTeMoI2 at its relaxed geometry.

Unit cell a=5.1285 b=5.4950 c=5.4950 alpha=90.00 beta=90.00 gamma=90.00
Site moments in Bohr magnetons follow the coordinates.
Sites, in units of the cell vectors:
1 Mo 0.0000 0.0000 0.0000  1.33
2 Te 0.5000 0.0000 0.0000  -0.06
3 Cu 0.5000 0.5000 0.5000  0.01
4 I 0.0000 0.0000 0.5000  0.04
5 I 0.0000 0.5000 0.0000  0.04

Output
- distance to the lowest polymorph of the same formula (meV per atom) = 0.0
- size of the total moment (μB per formula unit) = 1.568
- uncorrected formation energy (eV per atom) = 0.8315

***

[8]
Density functional theory data (PBEsol) for crystalline LiY2Ir at its relaxed geometry.

Unit cell a=4.7657 b=4.7657 c=4.7657 alpha=60.00 beta=60.00 gamma=60.00
Sites, in units of the cell vectors:
1 Y 0.7500 0.7500 0.7500
2 Y 0.0000 0.0000 0.0000
3 Ir 0.5000 0.5000 0.5000
4 Li 0.2500 0.2500 0.2500

Output
- formation energy (meV/atom) = -155
- size of the total moment (μB per formula unit) = 0.000

***

[9]
Density functional theory data (PBEsol) for crystalline MgHN2F at its relaxed geometry.

Unit cell a=2.9004 b=2.9004 c=4.5210 alpha=90.00 beta=90.00 gamma=90.00
Sites, in units of the cell vectors:
1 N 0.0000 0.5000 0.0000
2 N 0.5000 0.0000 0.0000
3 Mg 0.5000 0.5000 0.5000
4 F 0.0000 0.0000 0.5000
5 H 0.0000 0.0000 0.0000

Output
- size of the total moment (μB per formula unit) = 0.000
- calculated total energy (eV/atom) = -4.638

***

[10]
Density functional theory data (PBEsol) for crystalline TmTe at its relaxed geometry.

Unit cell a=4.0326 b=4.0326 c=7.6724 alpha=90.00 beta=90.00 gamma=120.00
Sites, in units of the cell vectors:
1 Tm 0.0000 0.0000 0.0000
2 Tm 0.0000 0.0000 0.5000
3 Te 0.6667 0.3333 0.7500
4 Te 0.3333 0.6667 0.2500

Output
- size of the total moment (μB per formula unit) = 0.000
- uncorrected formation energy (eV per atom) = -1.2584

***

[11]
Density functional theory data (PBEsol) for crystalline Re3Ir at its relaxed geometry.

Unit cell a=3.2549 b=3.2549 c=5.5536 alpha=90.00 beta=90.00 gamma=90.00
Sites, in units of the cell vectors:
1 Re 0.5000 0.5000 0.7601
2 Re 0.0000 0.0000 0.5000
3 Re 0.5000 0.5000 0.2399
4 Ir 0.0000 0.0000 0.0000

Output
- formation energy (meV/atom) = 320
- size of the total moment (μB per formula unit) = 0.000

***

[12]
Density functional theory data (PBEsol) for crystalline SrSi2Se at its relaxed geometry.

Unit cell a=4.0319 b=4.0319 c=6.0586 alpha=109.44 beta=109.44 gamma=90.00
Sites, in units of the cell vectors:
1 Si 0.2500 0.7500 0.5000
2 Si 0.7500 0.2500 0.5000
3 Sr 0.0000 0.0000 0.0000
4 Se 0.5000 0.5000 0.0000

Output
- size of the total moment (μB per formula unit) = 0.000
- uncorrected formation energy (eV per atom) = -0.2193